(1)
VCdTeI2: optimized geometry, PBE. Values from VASP.

For the density of states at the Fermi level, the calculation gives 5.6 states/eV/cell. The raw formation energy is 40 meV per atom. The excess energy over the best structure of this formula in the dataset comes out at 0 meV per atom. As for the energy: -3.215 eV/atom.

```
&SYSTEM
  ibrav = 0, nat = 5, ntyp = 4
/
ATOMIC_SPECIES
V 50.94 V.upf
Cd 112.41 Cd.upf
Te 127.60 Te.upf
I 126.90 I.upf
CELL_PARAMETERS angstrom
5.643 0.000 0.000
0.000 5.643 0.000
0.000 0.000 5.232
ATOMIC_POSITIONS angstrom
V 0.000 0.000 0.000
Cd 2.822 2.822 2.616
Te 0.000 0.000 2.616
I 0.000 2.822 0.000
I 2.822 0.000 0.000
```



(2)
VCdTe2I: optimized geometry, PBE. Values from VASP.

For the density of states at the Fermi level, the calculation gives 4.4 states/eV/cell. The raw formation energy is 108 meV per atom. The excess energy over the best structure of this formula in the dataset comes out at 0 meV per atom. As for the energy: -3.465 eV/atom.

```
&SYSTEM
  ibrav = 0, nat = 5, ntyp = 4
/
ATOMIC_SPECIES
V 50.94 V.upf
Cd 112.41 Cd.upf
Te 127.60 Te.upf
I 126.90 I.upf
CELL_PARAMETERS angstrom
5.187 0.000 0.000
0.000 5.187 0.000
0.000 0.000 5.885
ATOMIC_POSITIONS angstrom
V 0.000 0.000 0.000
Cd 2.593 2.593 2.943
Te 0.000 2.593 0.000
Te 2.593 0.000 0.000
I 0.000 0.000 2.943
```



(3)
VCdTe2I: optimized geometry, PBE. Values from VASP.

For the density of states at the Fermi level, the calculation gives 8.2 states/eV/cell. The raw formation energy is 775 meV per atom. The excess energy over the best structure of this formula in the dataset comes out at 667 meV per atom. As for the energy: -2.798 eV/atom.

```
&SYSTEM
  ibrav = 0, nat = 5, ntyp = 4
/
ATOMIC_SPECIES
V 50.94 V.upf
Cd 112.41 Cd.upf
Te 127.60 Te.upf
I 126.90 I.upf
CELL_PARAMETERS angstrom
5.574 0.000 0.000
0.000 5.574 0.000
0.000 0.000 5.851
ATOMIC_POSITIONS angstrom
V 0.000 0.000 0.000
Cd 2.787 2.787 2.925
Te 0.000 2.787 2.925
Te 2.787 0.000 2.925
I 2.787 2.787 0.000
```



(4)
VCdTe2I: optimized geometry, PBE. Values from VASP.

For the density of states at the Fermi level, the calculation gives 6.0 states/eV/cell. The raw formation energy is 1101 meV per atom. The excess energy over the best structure of this formula in the dataset comes out at 993 meV per atom. As for the energy: -2.472 eV/atom.

```
&SYSTEM
  ibrav = 0, nat = 5, ntyp = 4
/
ATOMIC_SPECIES
V 50.94 V.upf
Cd 112.41 Cd.upf
Te 127.60 Te.upf
I 126.90 I.upf
CELL_PARAMETERS angstrom
5.934 0.000 0.000
0.000 5.934 0.000
0.000 0.000 5.540
ATOMIC_POSITIONS angstrom
V 0.000 0.000 0.000
Cd 2.967 2.967 0.000
Te 0.000 2.967 2.770
Te 2.967 0.000 2.770
I 2.967 2.967 2.770
```



(5)
VCdTeI2: optimized geometry, PBE. Values from VASP.

For the density of states at the Fermi level, the calculation gives 4.3 states/eV/cell. The raw formation energy is 610 meV per atom. The excess energy over the best structure of this formula in the dataset comes out at 570 meV per atom. As for the energy: -2.645 eV/atom.

```
&SYSTEM
  ibrav = 0, nat = 5, ntyp = 4
/
ATOMIC_SPECIES
V 50.94 V.upf
Cd 112.41 Cd.upf
Te 127.60 Te.upf
I 126.90 I.upf
CELL_PARAMETERS angstrom
5.753 0.000 0.000
0.000 5.753 0.000
0.000 0.000 5.812
ATOMIC_POSITIONS angstrom
V 0.000 0.000 0.000
Cd 2.877 2.877 2.906
Te 2.877 2.877 0.000
I 0.000 2.877 2.906
I 2.877 0.000 2.906
```



(6)
CdTe2WI: optimized geometry, PBE. Values from VASP.

For the density of states at the Fermi level, the calculation gives 4.5 states/eV/cell. The raw formation energy is 494 meV per atom. The excess energy over the best structure of this formula in the dataset comes out at 0 meV per atom. As for the energy: -3.846 eV/atom.

```
&SYSTEM
  ibrav = 0, nat = 5, ntyp = 4
/
ATOMIC_SPECIES
Cd 112.41 Cd.upf
Te 127.60 Te.upf
W 183.84 W.upf
I 126.90 I.upf
CELL_PARAMETERS angstrom
5.287 0.000 0.000
0.000 5.287 0.000
0.000 0.000 5.822
ATOMIC_POSITIONS angstrom
Cd 0.000 0.000 0.000
Te 0.000 2.643 2.911
Te 2.643 0.000 2.911
W 2.643 2.643 2.911
I 2.643 2.643 0.000
```



(7)
ZnCdTe2I: optimized geometry, PBE. Values from VASP.

For the density of states at the Fermi level, the calculation gives 6.4 states/eV/cell. The raw formation energy is 267 meV per atom. The excess energy over the best structure of this formula in the dataset comes out at 0 meV per atom. As for the energy: -1.737 eV/atom.

```
&SYSTEM
  ibrav = 0, nat = 5, ntyp = 4
/
ATOMIC_SPECIES
Zn 65.41 Zn.upf
Cd 112.41 Cd.upf
Te 127.60 Te.upf
I 126.90 I.upf
CELL_PARAMETERS angstrom
5.370 0.000 0.000
0.000 5.370 0.000
0.000 0.000 5.615
ATOMIC_POSITIONS angstrom
Zn 0.000 0.000 0.000
Cd 2.685 2.685 2.808
Te 0.000 2.685 0.000
Te 2.685 0.000 0.000
I 0.000 0.000 2.808
```



(8)
ZnCdTeI2: optimized geometry, PBE. Values from VASP.

For the density of states at the Fermi level, the calculation gives 4.0 states/eV/cell. The raw formation energy is 113 meV per atom. The excess energy over the best structure of this formula in the dataset comes out at 0 meV per atom. As for the energy: -1.574 eV/atom.

```
&SYSTEM
  ibrav = 0, nat = 5, ntyp = 4
/
ATOMIC_SPECIES
Zn 65.41 Zn.upf
Cd 112.41 Cd.upf
Te 127.60 Te.upf
I 126.90 I.upf
CELL_PARAMETERS angstrom
5.525 0.000 0.000
0.000 5.525 0.000
0.000 0.000 5.558
ATOMIC_POSITIONS angstrom
Zn 0.000 0.000 0.000
Cd 2.763 2.763 2.779
Te 0.000 0.000 2.779
I 0.000 2.763 0.000
I 2.763 0.000 0.000
```



(9)
ZnCdTeI2: optimized geometry, PBE. Values from VASP.

For the density of states at the Fermi level, the calculation gives 6.5 states/eV/cell. The raw formation energy is 260 meV per atom. The excess energy over the best structure of this formula in the dataset comes out at 148 meV per atom. As for the energy: -1.426 eV/atom.

```
&SYSTEM
  ibrav = 0, nat = 5, ntyp = 4
/
ATOMIC_SPECIES
Zn 65.41 Zn.upf
Cd 112.41 Cd.upf
Te 127.60 Te.upf
I 126.90 I.upf
CELL_PARAMETERS angstrom
5.945 0.000 0.000
0.000 5.945 0.000
0.000 0.000 5.792
ATOMIC_POSITIONS angstrom
Zn 0.000 0.000 0.000
Cd 2.973 2.973 2.896
Te 2.973 2.973 0.000
I 0.000 2.973 2.896
I 2.973 0.000 2.896
```



(10)
ZnCdTe2I: optimized geometry, PBE. Values from VASP.

For the density of states at the Fermi level, the calculation gives 9.1 states/eV/cell. The raw formation energy is 467 meV per atom. The excess energy over the best structure of this formula in the dataset comes out at 199 meV per atom. As for the energy: -1.538 eV/atom.

```
&SYSTEM
  ibrav = 0, nat = 5, ntyp = 4
/
ATOMIC_SPECIES
Zn 65.41 Zn.upf
Cd 112.41 Cd.upf
Te 127.60 Te.upf
I 126.90 I.upf
CELL_PARAMETERS angstrom
5.677 0.000 0.000
0.000 5.677 0.000
0.000 0.000 5.877
ATOMIC_POSITIONS angstrom
Zn 0.000 0.000 0.000
Cd 2.838 2.838 2.939
Te 0.000 2.838 2.939
Te 2.838 0.000 2.939
I 2.838 2.838 0.000
```



(11)
ZrCdTe2I: optimized geometry, PBE. Values from VASP.

For the density of states at the Fermi level, the calculation gives 3.2 states/eV/cell. The raw formation energy is -262 meV per atom. The excess energy over the best structure of this formula in the dataset comes out at 0 meV per atom. As for the energy: -3.722 eV/atom.

```
&SYSTEM
  ibrav = 0, nat = 5, ntyp = 4
/
ATOMIC_SPECIES
Zr 91.22 Zr.upf
Cd 112.41 Cd.upf
Te 127.60 Te.upf
I 126.90 I.upf
CELL_PARAMETERS angstrom
5.618 0.000 0.000
0.000 5.618 0.000
0.000 0.000 5.873
ATOMIC_POSITIONS angstrom
Zr 0.000 0.000 0.000
Cd 2.809 2.809 2.937
Te 0.000 2.809 0.000
Te 2.809 0.000 0.000
I 0.000 0.000 2.937
```



(12)
ThCdI2: optimized geometry, PBE. Values from VASP.

For the density of states at the Fermi level, the calculation gives 1.6 states/eV/cell. The raw formation energy is -653 meV per atom. As for the energy: -3.511 eV/atom.

```
&SYSTEM
  ibrav = 0, nat = 4, ntyp = 3
/
ATOMIC_SPECIES
Th 232.04 Th.upf
Cd 112.41 Cd.upf
I 126.90 I.upf
CELL_PARAMETERS angstrom
1.948 1.124 12.669
-1.948 1.124 12.669
0.000 -2.249 12.669
ATOMIC_POSITIONS angstrom
Th 0.000 0.000 0.000
Cd 0.000 0.000 19.004
I 0.000 0.000 14.976
I 0.000 0.000 23.032
```



energy of number 4 (VCdTe2I)?
-2.472 eV/atom